{"formula": "DyOsPb2O6", "functional": "PBE", "state": "relaxed", "e_tot_ev_per_cell": -139.4, "raw_formation_energy_ev_per_atom": -1.670, "spacegroup": "P2_1/c (14)", "magmom_total_mub_per_cell": 5.784, "lattice_angstrom": [[5.886, 0.000, -0.036], [0.000, 5.889, 0.000], [0.001, 0.000, 8.307]], "species": ["Dy", "Dy", "Os", "Os", "Pb", "Pb", "Pb", "Pb", "O", "O", "O", "O", "O", "O", "O", "O", "O", "O", "O", "O"], "fractional_positions": [[0.500, 0.000, 0.000], [0.000, 0.500, 0.500], [0.500, 0.000, 0.500], [0.000, 0.500, 0.000], [0.009, 0.974, 0.247], [0.509, 0.526, 0.747], [0.991, 0.026, 0.753], [0.491, 0.474, 0.253], [0.264, 0.703, 0.041], [0.764, 0.797, 0.541], [0.736, 0.297, 0.959], [0.236, 0.203, 0.459], [0.302, 0.732, 0.461], [0.802, 0.768, 0.961], [0.698, 0.268, 0.539], [0.198, 0.232, 0.039], [0.926, 0.514, 0.233], [0.426, 0.986, 0.733], [0.074, 0.486, 0.767], [0.574, 0.014, 0.267]]}